VASP calculation (PBE with a Hubbard U) on crystalline CoOs2O6 at its relaxed geometry.

abc: 4.7789 4.7789 4.6883
angles: 90.00 90.00 120.00
With the nearest neighbours (Å) after each atom.
Sites, in units of the cell vectors:
Co 0.0000 0.0000 0.0000  6 O 1.97
Os 0.3333 0.6667 0.5000  6 O 1.98
Os 0.6667 0.3333 0.5000  6 O 1.98
O 0.0000 0.3280 0.2531  1 Co 1.97, 2 Os 1.98
O 0.0000 0.6720 0.7469  1 Co 1.97, 2 Os 1.98
O 0.3280 0.0000 0.2531  1 Co 1.97, 2 Os 1.98
O 0.3280 0.3280 0.7469  1 Co 1.97, 2 Os 1.98
O 0.6720 0.0000 0.7469  1 Co 1.97, 2 Os 1.98
O 0.6720 0.6720 0.2531  1 Co 1.97, 2 Os 1.98

Output
E_tot ... -7.27 eV per atom
Symmetry ... No. 162